1.
Density functional theory data (PBE-GGA) for a relaxed structure of Rb3Ce2TmSe6.

## Properties
Formation energy (no corrections): -1.68 eV per atom
Crystal system: monoclinic
Symmetry: C2/m, No. 12
Volume: 32.6 Å³/atom

abc: 7.5229 7.5229 8.3690
angles: 98.62 98.62 120.00
Sites, in units of the cell vectors:
Rb: 0.0000 0.0000 0.0000
Rb: 0.3320 0.6680 0.0000
Rb: 0.6680 0.3320 0.0000
Ce: 0.1665 0.8335 0.5000
Ce: 0.8335 0.1665 0.5000
Tm: 0.5000 0.5000 0.5000
Se: 0.1121 0.4343 0.3029
Se: 0.2438 0.2438 0.6975
Se: 0.4343 0.1121 0.3029
Se: 0.5657 0.8879 0.6971
Se: 0.7562 0.7562 0.3025
Se: 0.8879 0.5657 0.6971


2.
Density functional theory data (PBE-GGA) for a relaxed structure of ZrMoC2.

## Properties
Distance to the lowest polymorph of the same formula: 416 meV per atom
Crystal system: orthorhombic
Energy of formation: 54.3 meV/atom
Symmetry: Amm2, No. 38
Volume: 12.3 Å³/atom

abc: 3.1707 5.2880 5.2880
angles: 33.85 90.00 90.00
Sites, in units of the cell vectors:
Zr: 0.0000 0.0000 0.0000
Mo: 0.5000 0.2681 0.2681
C: 0.0000 0.7204 0.7204
C: 0.5000 0.4600 0.4600


3.
Density functional theory data (PBE-GGA) for a relaxed structure of Li2YBr4.

## Properties
Formation energy (no corrections): -1.41 eV per atom
Crystal system: tetragonal
Symmetry: I4/m, No. 87
Volume: 33.1 Å³/atom

abc: 6.7349 6.7349 6.7349
angles: 105.74 105.74 117.22
Sites, in units of the cell vectors:
Li: 0.2500 0.7500 0.5000
Li: 0.7500 0.2500 0.5000
Y: 0.0000 0.0000 0.0000
Br: 0.1434 0.3154 0.4588
Br: 0.3154 0.8566 0.1720
Br: 0.6846 0.1434 0.8280
Br: 0.8566 0.6846 0.5412


4.
Density functional theory data (PBE-GGA) for a relaxed structure of LiCdRh.

## Properties
Crystal system: orthorhombic
Energy of formation: -38.6 meV/atom
Symmetry: Fmm2, No. 42
Volume: 16.3 Å³/atom

abc: 7.3155 7.0802 2.8017
angles: 83.54 74.09 22.37
Sites, in units of the cell vectors:
Li: 0.0000 0.0000 0.0000
Cd: 0.6822 0.6822 0.3178
Rh: 0.3533 0.3533 0.6467


5.
Density functional theory data (PBE-GGA) for a relaxed structure of TaTcP2Cl.

## Properties
Formation energy (no corrections): 1.63 eV per atom
Distance to the lowest polymorph of the same formula: 886 meV per atom
Crystal system: tetragonal
Symmetry: P4/mmm, No. 123
Volume: 18.1 Å³/atom

abc: 4.5311 4.5311 4.4134
angles: 90.00 90.00 90.00
Sites, in units of the cell vectors:
Ta: 0.0000 0.0000 0.0000
Tc: 0.5000 0.5000 0.0000
P: 0.0000 0.5000 0.5000
P: 0.5000 0.0000 0.5000
Cl: 0.0000 0.0000 0.5000


6.
Density functional theory data (PBE-GGA) for a relaxed structure of Sr2SmAuO5.

## Properties
Formation energy (no corrections): -2.12 eV per atom
Crystal system: orthorhombic
Symmetry: Cmc2_1, No. 36
Volume: 15.9 Å³/atom

abc: 7.1482 7.1482 11.5502
angles: 90.00 90.00 151.03
Sites, in units of the cell vectors:
Sr: 0.0923 0.9077 0.5000
Sr: 0.1425 0.8575 0.1068
Sr: 0.8575 0.1425 0.6068
Sr: 0.9077 0.0923 0.0000
Sm: 0.2124 0.7876 0.8355
Sm: 0.7876 0.2124 0.3355
Au: 0.4754 0.5246 0.2589
Au: 0.5246 0.4754 0.7589
O: 0.0597 0.9403 0.8966
O: 0.2673 0.7327 0.4675
O: 0.3299 0.6701 0.2034
O: 0.3792 0.6208 0.7980
O: 0.4859 0.5141 0.5875
O: 0.5141 0.4859 0.0875
O: 0.6208 0.3792 0.2980
O: 0.6701 0.3299 0.7034
O: 0.7327 0.2673 0.9675
O: 0.9403 0.0597 0.3966


7.
Density functional theory data (PBE-GGA) for a relaxed structure of La7PrHo4.

## Properties
Distance to the lowest polymorph of the same formula: 181 meV per atom
Crystal system: monoclinic
Energy of formation: 192.7 meV/atom
Symmetry: C2/m, No. 12
Volume: 35.7 Å³/atom

abc: 8.7481 8.7481 9.7235
angles: 116.52 116.52 40.85
Sites, in units of the cell vectors:
La: 0.0000 0.0000 0.0000
La: 0.2776 0.2776 0.7486
La: 0.2861 0.2861 0.1085
La: 0.4105 0.4105 0.5407
La: 0.5895 0.5895 0.4593
La: 0.7139 0.7139 0.8915
La: 0.7224 0.7224 0.2514
Pr: 0.5000 0.5000 0.0000
Ho: 0.0651 0.0651 0.7012
Ho: 0.1672 0.1672 0.3658
Ho: 0.8328 0.8328 0.6342
Ho: 0.9349 0.9349 0.2988


> Which value of volume does entry 1 give?

32.6 Å³/atom


> The highest volume belongs to which entry?

La7PrHo4